[1]
## ZrPa2B (PBE)

Data for ZrPa2B after structural relaxation.

The density of states at the Fermi level is 6.96 states/eV/f.u. The value obtained for the volume is 21.9 Å³ per atom. Its formation energy is 0.254 eV/atom. For the magnetization, the calculation gives 0.00 μB per cell.

The space group is R-3m (No. 166, hexagonal axes) and the conventional cell measures 3.3429, 3.3429 and 27.1733 Å, with angles of 90.00, 90.00 and 120.00 degrees. The distinct sites, in fractional coordinates, are Zr at (0.0000, 0.0000, 0.0000), Pa at (0.0000, 0.0000, 0.1100) and B at (0.0000, 0.0000, 0.5000).


[2]
## ZrPaB (PBE)

Data for ZrPaB after structural relaxation.

The value obtained for the energy above the most stable polymorph in this dataset is 0 meV per atom. The density of states at the Fermi level is 3.88 states/eV/f.u. The value obtained for the volume is 19.5 Å³ per atom. Its formation energy is -0.119 eV/atom. For the magnetization, the calculation gives 0.00 μB per cell.

The space group is R-3m (No. 166, hexagonal axes) and the conventional cell measures 3.4596, 3.4596 and 33.8263 Å, with angles of 90.00, 90.00 and 120.00 degrees. The distinct sites, in fractional coordinates, are Zr at (0.0000, 0.0000, 0.1253), Pa at (0.0000, 0.0000, 0.2908) and B at (0.0000, 0.0000, 0.4198).


[3]
## BPb4 (PBE)

Data for BPb4 after structural relaxation.

The density of states at the Fermi level is 2.53 states/eV/f.u. The value obtained for the volume is 27.4 Å³ per atom. Its formation energy is 0.592 eV/atom. For the magnetization, the calculation gives 0.00 μB per cell.

The space group is Pm-3m (No. 221) and the conventional cell measures 5.154, 5.154 and 5.154 Å, with angles of 90.00, 90.00 and 90.00 degrees. The distinct sites, in fractional coordinates, are B at (0.000, 0.000, 0.000), Pb at (0.000, 0.000, 0.500) and Pb at (0.500, 0.500, 0.500).


[4]
## BPd6Pb (PBE)

Data for BPd6Pb after structural relaxation.

The density of states at the Fermi level is 2.51 states/eV/f.u. The value obtained for the volume is 16.8 Å³ per atom. Its formation energy is -0.133 eV/atom. For the magnetization, the calculation gives 0.00 μB per cell.

The space group is P-1 (No. 2) and the conventional cell measures 5.593, 5.595 and 5.914 Å, with angles of 61.78, 61.94 and 60.09 degrees. The distinct sites, in fractional coordinates, are B at (0.000, 0.000, 0.000), Pd at (0.029, 0.575, 0.234), Pd at (0.162, 0.028, 0.235), Pd at (0.423, 0.839, 0.766) and Pb at (0.500, 0.500, 0.500).